[1]
{"formula": "RbTl2TeF", "functional": "PBE", "state": "relaxed", "lattice_angstrom": [[5.4537, 0.0000, 0.0000], [0.0000, 5.4537, 0.0000], [0.0000, 0.0000, 5.4063]], "species": ["Rb", "Tl", "Tl", "Te", "F"], "fractional_positions": [[0.0000, 0.0000, 0.0000], [0.0000, 0.5000, 0.5000], [0.5000, 0.0000, 0.5000], [0.5000, 0.5000, 0.0000], [0.0000, 0.0000, 0.5000]], "dft_energy_ev_per_atom": -3.25, "polymorph_energy_mev_per_atom": 89.7, "volume_a3_per_atom": 32.16, "dos_ef_per_ev_cell": 0.03}

***

[2]
{"formula": "Ca2MnCl", "functional": "PBE", "state": "relaxed", "lattice_angstrom": [[5.6164, 0.0000, 0.0000], [0.0000, 5.6164, 0.0000], [0.0000, 0.0000, 3.6977]], "species": ["Ca", "Ca", "Mn", "Cl"], "fractional_positions": [[0.0000, 0.5000, 0.0000], [0.5000, 0.0000, 0.0000], [0.0000, 0.0000, 0.4992], [0.5000, 0.5000, 0.9935]], "dft_energy_ev_per_atom": -4.14, "polymorph_energy_mev_per_atom": 135.7, "volume_a3_per_atom": 29.16, "dos_ef_per_ev_cell": 3.95}

***

[3]
{"formula": "Cs3Tl4Pt", "functional": "PBE", "state": "relaxed", "lattice_angstrom": [[6.8943, 0.0000, 0.0000], [0.0000, 15.2462, 0.0000], [0.0000, 0.0000, 6.8911]], "species": ["Cs", "Cs", "Cs", "Cs", "Cs", "Cs", "Tl", "Tl", "Tl", "Tl", "Tl", "Tl", "Tl", "Tl", "Pt", "Pt"], "fractional_positions": [[0.2500, 0.0160, 0.2021], [0.2500, 0.4840, 0.2021], [0.2500, 0.7500, 0.4837], [0.7500, 0.2500, 0.5163], [0.7500, 0.5160, 0.7979], [0.7500, 0.9840, 0.7979], [0.0045, 0.7500, 0.9691], [0.2500, 0.1398, 0.6848], [0.2500, 0.3602, 0.6848], [0.4955, 0.7500, 0.9691], [0.5045, 0.2500, 0.0309], [0.7500, 0.6398, 0.3152], [0.7500, 0.8602, 0.3152], [0.9955, 0.2500, 0.0309], [0.2500, 0.2500, 0.3566], [0.7500, 0.7500, 0.6434]], "dft_energy_ev_per_atom": -2.36, "formation_energy_kj_per_mol_fu": -81, "polymorph_energy_mev_per_atom": 0.0, "volume_a3_per_atom": 45.27, "dos_ef_per_ev_cell": 10.44}

***

[4]
{"formula": "TbGdRuRh", "functional": "PBE", "state": "relaxed", "lattice_angstrom": [[0.0000, 3.4362, 3.4362], [3.4362, 0.0000, 3.4362], [3.4362, 3.4362, 0.0000]], "species": ["Tb", "Gd", "Ru", "Rh"], "fractional_positions": [[0.0000, 0.0000, 0.0000], [0.5000, 0.5000, 0.5000], [0.7500, 0.7500, 0.7500], [0.2500, 0.2500, 0.2500]], "dft_energy_ev_per_atom": -9.40, "formation_energy_kj_per_mol_fu": -217, "volume_a3_per_atom": 20.29, "dos_ef_per_ev_cell": 2.20}

***

[5]
{"formula": "Al2WCl", "functional": "PBE", "state": "relaxed", "lattice_angstrom": [[-1.9721, 1.9721, 4.1827], [1.9721, -1.9721, 4.1827], [1.9721, 1.9721, -4.1827]], "species": ["Al", "Al", "W", "Cl"], "fractional_positions": [[0.2500, 0.7500, 0.5000], [0.7500, 0.2500, 0.5000], [0.0000, 0.0000, 0.0000], [0.5000, 0.5000, 0.0000]], "dft_energy_ev_per_atom": -4.98, "polymorph_energy_mev_per_atom": 722.2, "volume_a3_per_atom": 16.27, "dos_ef_per_ev_cell": 3.20}

***

[6]
{"formula": "MnSi2Sb", "functional": "PBE", "state": "relaxed", "lattice_angstrom": [[1.5469, 0.8931, 8.0608], [-1.5469, 0.8931, 8.0608], [0.0000, -1.7863, 8.0608]], "species": ["Mn", "Si", "Si", "Sb"], "fractional_positions": [[0.0000, 0.0000, 0.0000], [0.2698, 0.2698, 0.2698], [0.7302, 0.7302, 0.7302], [0.5000, 0.5000, 0.5000]], "dft_energy_ev_per_atom": -5.76, "volume_a3_per_atom": 16.71, "dos_ef_per_ev_cell": 2.69}

***

[7]
{"formula": "TbGd2Ni", "functional": "PBE", "state": "relaxed", "lattice_angstrom": [[1.8479, 1.0669, 9.4533], [-1.8479, 1.0669, 9.4533], [0.0000, -2.1338, 9.4533]], "species": ["Tb", "Gd", "Gd", "Ni"], "fractional_positions": [[0.0000, 0.0000, 0.0000], [0.2277, 0.2277, 0.2277], [0.7723, 0.7723, 0.7723], [0.5000, 0.5000, 0.5000]], "dft_energy_ev_per_atom": -9.71, "formation_energy_kj_per_mol_fu": -26, "polymorph_energy_mev_per_atom": 66.9, "volume_a3_per_atom": 27.96, "dos_ef_per_ev_cell": 4.74}

***

[8]
{"formula": "PaNb", "functional": "PBE", "state": "relaxed", "lattice_angstrom": [[3.1887, 0.0000, 0.0000], [-0.0078, 4.7720, 0.0000], [-1.5371, -0.0087, 5.6173]], "species": ["Pa", "Pa", "Nb", "Nb"], "fractional_positions": [[0.1115, 0.2501, 0.3719], [0.8885, 0.7499, 0.6281], [0.3682, 0.7501, 0.1046], [0.6318, 0.2499, 0.8954]], "dft_energy_ev_per_atom": -9.76, "formation_energy_kj_per_mol_fu": 4, "polymorph_energy_mev_per_atom": 0.0, "volume_a3_per_atom": 21.37, "dos_ef_per_ev_cell": 4.29}

***

no.,spin magnetization (μB per atom)
1,0.000
2,1.007
3,0.000
4,1.769
5,0.049
6,0.019
7,3.603
8,0.000